Here is a geometry-optimized SrP4Pt structure from Alexandria via LeMat-Bulk. Energies are from GGA-PBE.

Space group: F-43m
Formation energy (meV per atom): 18
Total energy (eV per atom): -4.876

Unit cell a=5.5858 b=5.5858 c=5.5858 alpha=60.00 beta=60.00 gamma=60.00
Fractional coordinates of all 6 atoms:
Sr1 0.0000 0.0000 0.0000
P1 0.1995 0.6002 0.6002
P2 0.6002 0.1995 0.6002
P3 0.6002 0.6002 0.1995
P4 0.6002 0.6002 0.6002
Pt1 0.2500 0.2500 0.2500

---

Here is a geometry-optimized SrP2Pt2 structure from Alexandria via LeMat-Bulk. Energies are from GGA-PBE.

Space group: P4/mbm
Formation energy (meV per atom): -296
Total energy (eV per atom): -5.212

Unit cell a=7.9287 b=7.9287 c=3.5233 alpha=90.00 beta=90.00 gamma=90.00
Fractional coordinates of all 10 atoms:
Sr1 0.0000 0.0000 0.0000
Sr2 0.5000 0.5000 0.0000
P1 0.2468 0.2532 0.5000
P2 0.2532 0.7532 0.5000
P3 0.7468 0.2468 0.5000
P4 0.7532 0.7468 0.5000
Pt1 0.1173 0.3827 0.0000
Pt2 0.3827 0.8827 0.0000
Pt3 0.6173 0.1173 0.0000
Pt4 0.8827 0.6173 0.0000

---

Here is a geometry-optimized Sr2P3Pt structure from Alexandria via LeMat-Bulk. Energies are from GGA-PBE.

Space group: Fmmm
Formation energy (meV per atom): -889
Total energy (eV per atom): -5.162

Unit cell a=8.1654 b=8.1351 c=6.2923 alpha=67.55 beta=67.04 gamma=45.41
Fractional coordinates of all 12 atoms:
Sr1 0.2384 0.7616 0.7616
Sr2 0.2500 0.2500 0.2500
Sr3 0.7500 0.7500 0.7500
Sr4 0.7616 0.2384 0.2384
P1 0.1556 0.1556 0.8444
P2 0.1946 0.6433 0.3567
P3 0.3567 0.8054 0.1946
P4 0.6433 0.1946 0.8054
P5 0.8054 0.3567 0.6433
P6 0.8444 0.8444 0.1556
Pt1 0.3258 0.3258 0.6742
Pt2 0.6742 0.6742 0.3258

---

Here is a geometry-optimized SrP2Pt6 structure from Alexandria via LeMat-Bulk. Energies are from GGA-PBE.

Space group: Pa-3
Formation energy (meV per atom): -678
Total energy (eV per atom): -6.095

Unit cell a=8.5806 b=8.5806 c=8.5806 alpha=90.00 beta=90.00 gamma=90.00
Fractional coordinates of all 36 atoms:
Sr1 0.0000 0.0000 0.0000
Sr2 0.0000 0.5000 0.5000
Sr3 0.5000 0.0000 0.5000
Sr4 0.5000 0.5000 0.0000
P1 0.1944 0.6944 0.8056
P2 0.1944 0.8056 0.3056
P3 0.3056 0.1944 0.8056
P4 0.3056 0.3056 0.3056
P5 0.6944 0.6944 0.6944
P6 0.6944 0.8056 0.1944
P7 0.8056 0.1944 0.6944
P8 0.8056 0.3056 0.1944
Pt1 0.0779 0.1568 0.6570
Pt2 0.0779 0.3432 0.1570
Pt3 0.1570 0.0779 0.3432
Pt4 0.1570 0.4221 0.8432
Pt5 0.1568 0.6570 0.0779
Pt6 0.1568 0.8430 0.5779
Pt7 0.3432 0.1570 0.0779
Pt8 0.3432 0.3430 0.5779
Pt9 0.3430 0.5779 0.3432
Pt10 0.3430 0.9221 0.8432
Pt11 0.4221 0.6568 0.6570
Pt12 0.4221 0.8432 0.1570
Pt13 0.5779 0.1568 0.8430
Pt14 0.5779 0.3432 0.3430
Pt15 0.6570 0.0779 0.1568
Pt16 0.6570 0.4221 0.6568
Pt17 0.6568 0.6570 0.4221
Pt18 0.6568 0.8430 0.9221
Pt19 0.8432 0.1570 0.4221
Pt20 0.8432 0.3430 0.9221
Pt21 0.8430 0.5779 0.1568
Pt22 0.8430 0.9221 0.6568
Pt23 0.9221 0.6568 0.8430
Pt24 0.9221 0.8432 0.3430

---

| no. | mass density (g/cm³) |
| --- | --- |
| 1 | 5.48 |
| 2 | 8.09 |
| 3 | 5.69 |
| 4 | 13.88 |